Record 1
An optimized crystal structure of Ca2HgRh, computed with PBE-GGA.

a b c (Å): 9.9587 9.9587 9.9587
angles (deg): 151.88 151.88 40.19
Last column: nearest neighbours and their distance in Å.
Positions (direct):
Ca 0.0981 0.6250 0.9731  2 Rh 2.85, 2 Hg 2.95
Ca 0.3750 0.3481 0.4731  2 Rh 2.85, 2 Hg 2.95
Ca 0.6519 0.1250 0.0269  2 Rh 2.85, 2 Hg 2.95
Ca 0.8750 0.9019 0.5269  2 Rh 2.85, 2 Hg 2.95
Hg 0.2500 0.7500 0.5000  4 Ca 2.95
Hg 0.5000 0.5000 0.0000  4 Ca 2.95
Rh 0.0000 0.0000 0.0000  4 Ca 2.85
Rh 0.7500 0.2500 0.5000  4 Ca 2.85

Results
Calculated density ... 5.819 g cm⁻³
ΔH_f (0 K) ... 146 meV/atom
Symmetry ... I-42d, No. 122
Magnetization ... 0.00 Bohr magnetons per cell

---

Record 2
An optimized crystal structure of Zr2PaB6, computed with PBE-GGA.

a b c (Å): 5.5774 5.5774 3.7507
angles (deg): 90.00 90.00 120.00
Last column: nearest neighbours and their distance in Å.
Positions (direct):
Zr 0.3333 0.6667 0.0000  12 B 2.63
Zr 0.6667 0.3333 0.0000  12 B 2.63
Pa 0.0000 0.0000 0.0000  12 B 2.65
B 0.0000 0.3364 0.5000  3 B 1.83-1.88
B 0.0000 0.6636 0.5000  3 B 1.83-1.88
B 0.3364 0.0000 0.5000  3 B 1.83-1.88
B 0.3364 0.3364 0.5000  3 B 1.83-1.88
B 0.6636 0.0000 0.5000  3 B 1.83-1.88
B 0.6636 0.6636 0.5000  3 B 1.83-1.88

Results
Calculated density ... 7.861 g cm⁻³
ΔH_f (0 K) ... -740 meV/atom
Symmetry ... P6/mmm, No. 191
Magnetization ... 0.00 Bohr magnetons per cell

---

Record 3
An optimized crystal structure of SrTaRe2, computed with PBE-GGA.

a b c (Å): 3.0601 3.0601 8.8374
angles (deg): 90.00 90.00 90.00
Last column: nearest neighbours and their distance in Å.
Positions (direct):
Sr 0.0000 0.0000 0.0000  4 Sr 3.06, 4 Re 3.33
Ta 0.5000 0.5000 0.3443  4 Re 2.85, 4 Ta 3.06
Re 0.0000 0.0000 0.5534  4 Re 2.59, 4 Ta 2.85
Re 0.5000 0.5000 0.7141  4 Re 2.59

Results
Offset from the most stable computed form ... 0.00 eV/f.u.
Calculated density ... 12.862 g cm⁻³
ΔH_f (0 K) ... 545 meV/atom
Symmetry ... P4mm, No. 99
Magnetization ... 0.00 Bohr magnetons per cell

---

Record 4
An optimized crystal structure of CaAc3Ag4, computed with PBE-GGA.

a b c (Å): 5.5399 5.5399 7.7782
angles (deg): 90.00 90.00 90.00
Last column: nearest neighbours and their distance in Å.
Positions (direct):
Ca 0.0000 0.0000 0.0000  8 Ag 3.36
Ac 0.0000 0.0000 0.5000  8 Ag 3.41
Ac 0.5000 0.5000 0.0000  8 Ag 3.36
Ac 0.5000 0.5000 0.5000  8 Ag 3.41
Ag 0.0000 0.5000 0.2435  6 Ac 3.36-3.41, 2 Ca 3.36
Ag 0.0000 0.5000 0.7565  6 Ac 3.36-3.41, 2 Ca 3.36
Ag 0.5000 0.0000 0.2435  6 Ac 3.36-3.41, 2 Ca 3.36
Ag 0.5000 0.0000 0.7565  6 Ac 3.36-3.41, 2 Ca 3.36

Results
Calculated density ... 8.017 g cm⁻³
ΔH_f (0 K) ... -273 meV/atom
Symmetry ... P4/mmm, No. 123
Magnetization ... 0.00 Bohr magnetons per cell

---

Record 5
An optimized crystal structure of ZnSnSbI2, computed with PBE-GGA.

a b c (Å): 5.4802 5.4802 5.4657
angles (deg): 90.00 90.00 90.00
Last column: nearest neighbours and their distance in Å.
Positions (direct):
Zn 0.0000 0.0000 0.0000  2 Sb 2.73, 4 I 2.74
Sn 0.5000 0.5000 0.5000  8 I 3.87, 4 Sb 3.88
Sb 0.0000 0.0000 0.5000  2 Zn 2.73
I 0.0000 0.5000 0.0000  2 Zn 2.74
I 0.5000 0.0000 0.0000  2 Zn 2.74

Results
Offset from the most stable computed form ... 0.00 eV/f.u.
Calculated density ... 5.662 g cm⁻³
E_form (uncorrected) ... 238 meV/atom
Symmetry ... P4/mmm, No. 123
Magnetization ... 0.00 Bohr magnetons per cell

---

Record 6
An optimized crystal structure of TaTiV2, computed with PBE-GGA.

a b c (Å): 9.4187 9.4187 9.4187
angles (deg): 17.26 17.26 17.26
Last column: nearest neighbours and their distance in Å.
Positions (direct):
Ta 0.0000 0.0000 0.0000  6 Ta 2.83, 6 V 2.90
Ti 0.5000 0.5000 0.5000  6 V 2.77, 6 Ti 2.83
V 0.2470 0.2470 0.2470  3 Ti 2.77, 6 V 2.83, 3 Ta 2.90
V 0.7530 0.7530 0.7530  3 Ti 2.77, 6 V 2.83, 3 Ta 2.90

Results
Offset from the most stable computed form ... 0.81 eV/f.u.
Calculated density ... 8.557 g cm⁻³
ΔH_f (0 K) ... 267 meV/atom
Symmetry ... R-3m, No. 166
Magnetization ... 0.00 Bohr magnetons per cell

---

Record 7
An optimized crystal structure of NpCdAgSn, computed with PBE-GGA.

a b c (Å): 5.1121 5.1121 5.1121
angles (deg): 60.00 60.00 60.00
Last column: nearest neighbours and their distance in Å.
Positions (direct):
Np 0.0000 0.0000 0.0000  4 Cd 3.13, 4 Sn 3.13
Cd 0.2500 0.2500 0.2500  4 Np 3.13, 4 Ag 3.13
Ag 0.5000 0.5000 0.5000  4 Cd 3.13, 4 Sn 3.13
Sn 0.7500 0.7500 0.7500  4 Np 3.13, 4 Ag 3.13

Results
Calculated density ... 10.125 g cm⁻³
ΔH_f (0 K) ... 150 meV/atom
Symmetry ... F-43m, No. 216
Magnetization ... 4.33 Bohr magnetons per cell

---

Record 8
An optimized crystal structure of PuMg3Ni8, computed with PBE-GGA.

a b c (Å): 4.8977 4.8977 7.9691
angles (deg): 90.00 90.00 120.00
Last column: nearest neighbours and their distance in Å.
Positions (direct):
Pu 0.0000 0.0000 0.0000  12 Ni 2.85-2.91, 4 Mg 3.07
Mg 0.0000 0.0000 0.3853  12 Ni 2.74-2.93, 3 Mg 2.95
Mg 0.6667 0.3333 0.4897  12 Ni 2.81-2.88, 4 Mg 2.88-2.95
Mg 0.6667 0.3333 0.8511  12 Ni 2.80-3.00, 1 Mg 2.88, 3 Pu 3.07
Ni 0.1654 0.3308 0.6803  6 Ni 2.43-2.47
Ni 0.1654 0.8346 0.6803  6 Ni 2.43-2.47
Ni 0.3333 0.6667 0.4315  6 Ni 2.44
Ni 0.3333 0.6667 0.9303  6 Ni 2.45-2.48
Ni 0.5018 0.0036 0.1839  6 Ni 2.42-2.48
Ni 0.5018 0.4982 0.1839  6 Ni 2.42-2.48
Ni 0.6692 0.8346 0.6803  6 Ni 2.43-2.47
Ni 0.9964 0.4982 0.1839  6 Ni 2.42-2.48

Results
Calculated density ... 7.889 g cm⁻³
ΔH_f (0 K) ... -212 meV/atom
Symmetry ... P3m1, No. 156
Magnetization ... 3.62 Bohr magnetons per cell

---

Record 9
An optimized crystal structure of Li2AsSe2, computed with PBE-GGA.

a b c (Å): 7.2895 7.2895 3.6269
angles (deg): 90.00 90.00 90.00
Last column: nearest neighbours and their distance in Å.
Positions (direct):
Li 0.1368 0.3632 0.0000  6 Se 2.66-2.92, 1 Li 2.82
Li 0.3632 0.8632 0.0000  6 Se 2.66-2.92, 1 Li 2.82
Li 0.6368 0.1368 0.0000  6 Se 2.66-2.92, 1 Li 2.82
Li 0.8632 0.6368 0.0000  6 Se 2.66-2.92, 1 Li 2.82
As 0.0000 0.0000 0.5000  4 Se 2.69
As 0.5000 0.5000 0.5000  4 Se 2.69
Se 0.1749 0.6749 0.5000  6 Li 2.66-2.92, 2 As 2.69
Se 0.3251 0.1749 0.5000  6 Li 2.66-2.92, 2 As 2.69
Se 0.6749 0.8251 0.5000  6 Li 2.66-2.92, 2 As 2.69
Se 0.8251 0.3251 0.5000  6 Li 2.66-2.92, 2 As 2.69

Results
Calculated density ... 4.252 g cm⁻³
E_form (uncorrected) ... -596 meV/atom
Symmetry ... P4/mbm, No. 127
Magnetization ... 0.00 Bohr magnetons per cell

---

Record 10
An optimized crystal structure of Hf3TiS, computed with PBE-GGA.

a b c (Å): 6.5931 6.5931 6.5931
angles (deg): 120.75 89.34 120.01
Last column: nearest neighbours and their distance in Å.
Positions (direct):
Hf 0.2643 0.0000 0.7643  1 S 2.48
Hf 0.2643 0.5000 0.2643  1 S 2.48
Hf 0.2876 0.0376 0.2500  2 S 2.50
Hf 0.7124 0.9624 0.7500  2 S 2.50
Hf 0.7357 0.0000 0.2357  1 S 2.48
Hf 0.7357 0.5000 0.7357  1 S 2.48
Ti 0.2720 0.5220 0.7500  2 S 2.42
Ti 0.7280 0.4780 0.2500  2 S 2.42
S 0.0000 0.0000 0.5000  2 Ti 2.42, 4 Hf 2.48-2.50
S 0.0000 0.5000 0.0000  2 Ti 2.42, 4 Hf 2.48-2.50

Results
Offset from the most stable computed form ... 0.00 eV/f.u.
Calculated density ... 10.145 g cm⁻³
E_form (uncorrected) ... -484 meV/atom
Symmetry ... Imma, No. 74
Magnetization ... 0.00 Bohr magnetons per cell

---

Record 11
An optimized crystal structure of SrTmH8Rh2, computed with PBE-GGA.

a b c (Å): 6.4747 6.4747 6.4747
angles (deg): 46.21 46.21 46.21
Last column: nearest neighbours and their distance in Å.
Positions (direct):
Sr 0.0000 0.0000 0.0000  6 H 2.45
Tm 0.5000 0.5000 0.5000  6 H 2.22
H 0.0734 0.8813 0.4019  2 Rh 1.80-1.85, 1 H 1.97
H 0.1187 0.5981 0.9266  2 Rh 1.80-1.85, 1 H 1.97
H 0.2942 0.2942 0.2942  1 Rh 1.76
H 0.4019 0.0734 0.8813  2 Rh 1.80-1.85, 1 H 1.97
H 0.5981 0.9266 0.1187  2 Rh 1.80-1.85, 1 H 1.97
H 0.7058 0.7058 0.7058  1 Rh 1.76
H 0.8813 0.4019 0.0734  2 Rh 1.80-1.85, 1 H 1.97
H 0.9266 0.1187 0.5981  2 Rh 1.80-1.85, 1 H 1.97
Rh 0.1926 0.1926 0.1926  7 H 1.76-1.85
Rh 0.8074 0.8074 0.8074  7 H 1.76-1.85

Results
Calculated density ... 6.053 g cm⁻³
Symmetry ... R-3, No. 148
Magnetization ... 0.00 Bohr magnetons per cell
Total energy ... -4.2874 eV per atom

---

Record 12
An optimized crystal structure of In2SnPbI6, computed with PBE-GGA.

a b c (Å): 8.9153 8.9153 6.4849
angles (deg): 90.00 90.00 90.00
Last column: nearest neighbours and their distance in Å.
Positions (direct):
In 0.0000 0.5000 0.0000  4 I 3.52
In 0.5000 0.0000 0.0000  4 I 3.52
Sn 0.0000 0.0000 0.6849  5 I 2.90-3.16
Pb 0.5000 0.5000 0.6824  5 I 3.04-3.22
I 0.0000 0.0000 0.2372  1 Sn 2.90
I 0.2477 0.2477 0.7574  1 Sn 3.16, 1 Pb 3.22, 2 In 3.52
I 0.2477 0.7523 0.7574  1 Sn 3.16, 1 Pb 3.22, 2 In 3.52
I 0.5000 0.5000 0.2138  1 Pb 3.04
I 0.7523 0.2477 0.7574  1 Sn 3.16, 1 Pb 3.22, 2 In 3.52
I 0.7523 0.7523 0.7574  1 Sn 3.16, 1 Pb 3.22, 2 In 3.52

Results
Calculated density ... 4.243 g cm⁻³
E_form (uncorrected) ... -461 meV/atom
Symmetry ... P4mm, No. 99
Magnetization ... 0.00 Bohr magnetons per cell